Record 1
First-principles (PBE) data for crystalline BaMn2RhC at its relaxed geometry, as listed in Alexandria.

Results
The value obtained for the energy of formation is 147.6 kJ/mol of atoms. The calculation puts the density at 4.2 g/cm3. For the density of states at the Fermi level, the calculation gives 0.71 states/eV/atom. The calculated volume comes out at 28.327 A^3/atom. As for the symmetry: P4/mmm (123).

The structure in extended XYZ format:
```
5
Lattice="4.834 0.000 0.000 0.000 6.061 0.000 0.000 0.000 4.834" Properties=species:S:1:pos:R:3 pbc="T T T"
Mn 2.417 0.000 0.000
Mn 0.000 0.000 2.417
Rh 0.000 0.000 0.000
Ba 0.000 3.031 0.000
C 2.417 3.031 2.417
```

***

Record 2
First-principles (PBE) data for crystalline BaMn2SbC at its relaxed geometry, as listed in Alexandria.

Results
The calculation puts the density at 5.2 g/cm3. The calculation puts the formation energy without anion corrections at 1.26 eV/atom. For the density of states at the Fermi level, the calculation gives 1.30 states/eV/atom. The calculated volume comes out at 24.222 A^3/atom. As for the symmetry: P4/mmm (123).

The structure in extended XYZ format:
```
5
Lattice="-4.215 2.511 -1.280 -2.610 -3.649 1.439 -0.224 1.996 4.655" Properties=species:S:1:pos:R:3 pbc="T T T"
Ba -3.525 0.429 2.407
C -1.305 -1.824 0.719
Mn -2.107 1.255 -0.640
Mn -0.112 0.998 2.328
Sb 0.000 0.000 0.000
```

***

Record 3
First-principles (PBE) data for crystalline BaMnSn2C at its relaxed geometry, as listed in Alexandria.

Results
The value obtained for the energy of formation is 48.3 kJ/mol of atoms. The calculation puts the density at 6.7 g/cm3. For the density of states at the Fermi level, the calculation gives 0.81 states/eV/atom. The calculated volume comes out at 21.790 A^3/atom. As for the symmetry: P4/mmm (123).

The structure in extended XYZ format:
```
5
Lattice="5.351 0.000 0.000 0.000 3.805 0.000 0.000 0.000 5.351" Properties=species:S:1:pos:R:3 pbc="T T T"
Ba 2.676 1.902 2.676
C 0.000 1.902 0.000
Sn 0.000 0.000 2.676
Sn 2.676 0.000 0.000
Mn 0.000 0.000 0.000
```